Entry 1:
{"formula": "BeAlSi", "functional": "SCAN", "state": "PBEsol geometry", "lattice_angstrom": [[0.000, 2.859, 2.859], [2.859, 0.000, 2.859], [2.859, 2.859, 0.000]], "species": ["Be", "Al", "Si"], "frac_coords": [[0.000, 0.000, 0.000], [0.250, 0.250, 0.250], [0.500, 0.500, 0.500]], "e_form_raw_ev_per_atom": 0.494, "m_tot_mub_per_fu": 0.0, "n_ef_per_ev_atom": 0.25}

***

Entry 2:
{"formula": "IrWCl", "functional": "SCAN", "state": "PBEsol geometry", "lattice_angstrom": [[0.000, 3.006, 3.006], [3.006, 0.000, 3.006], [3.006, 3.006, 0.000]], "species": ["Ir", "W", "Cl"], "frac_coords": [[0.000, 0.000, 0.000], [0.750, 0.750, 0.750], [0.250, 0.250, 0.250]], "e_form_raw_ev_per_atom": 1.183, "m_tot_mub_per_fu": 0.0, "n_ef_per_ev_atom": 1.02}

***

Entry 3:
{"formula": "PPdBr2", "functional": "SCAN", "state": "PBEsol geometry", "lattice_angstrom": [[0.000, 3.326, 3.326], [3.326, 0.000, 3.326], [3.326, 3.326, 0.000]], "species": ["P", "Pd", "Br", "Br"], "frac_coords": [[0.000, 0.000, 0.000], [0.500, 0.500, 0.500], [0.250, 0.250, 0.250], [0.750, 0.750, 0.750]], "e_form_raw_ev_per_atom": 0.732, "m_tot_mub_per_fu": 0.0, "n_ef_per_ev_atom": 0.38}

***

Entry 4:
{"formula": "ZrAlRh", "functional": "SCAN", "state": "PBEsol geometry", "lattice_angstrom": [[3.024, 0.000, 0.000], [-1.512, 2.619, 0.000], [0.000, 0.000, 6.406]], "species": ["Zr", "Al", "Rh"], "frac_coords": [[0.000, 0.000, 0.000], [0.667, 0.333, 0.623], [0.333, 0.667, 0.335]], "m_tot_mub_per_fu": 0.0, "e_form_mev_per_atom": -472, "n_ef_per_ev_atom": 0.83}

***

Entry 5:
{"formula": "ZnCr2Cl", "functional": "SCAN", "state": "PBEsol geometry", "lattice_angstrom": [[2.975, 0.000, 0.000], [0.000, 2.975, 0.000], [0.000, 0.000, 7.136]], "species": ["Zn", "Cr", "Cr", "Cl"], "frac_coords": [[0.000, 0.000, 0.000], [0.000, 0.000, 0.615], [0.500, 0.500, 0.784], [0.500, 0.500, 0.401]], "e_form_raw_ev_per_atom": -0.043, "m_tot_mub_per_fu": 0.8, "relative_energy_kj_per_mol_atoms": 0.00, "n_ef_per_ev_atom": 0.37}

***

Entry 6:
{"formula": "Cs3As11", "functional": "SCAN", "state": "PBEsol geometry", "lattice_angstrom": [[6.464, -7.678, 0.000], [6.464, 7.678, 0.000], [-1.616, 0.000, 19.185]], "species": ["Cs", "Cs", "Cs", "Cs", "Cs", "Cs", "Cs", "Cs", "Cs", "Cs", "Cs", "Cs", "As", "As", "As", "As", "As", "As", "As", "As", "As", "As", "As", "As", "As", "As", "As", "As", "As", "As", "As", "As", "As", "As", "As", "As", "As", "As", "As", "As", "As", "As", "As", "As", "As", "As", "As", "As", "As", "As", "As", "As", "As", "As", "As", "As"], "frac_coords": [[0.036, 0.200, 0.630], [0.200, 0.036, 0.130], [0.208, 0.709, 0.607], [0.241, 0.531, 0.118], [0.291, 0.792, 0.893], [0.469, 0.759, 0.382], [0.531, 0.241, 0.618], [0.709, 0.208, 0.107], [0.759, 0.469, 0.882], [0.792, 0.291, 0.393], [0.800, 0.964, 0.870], [0.964, 0.800, 0.370], [0.016, 0.248, 0.996], [0.056, 0.343, 0.813], [0.101, 0.157, 0.445], [0.109, 0.440, 0.932], [0.127, 0.145, 0.318], [0.137, 0.512, 0.395], [0.145, 0.127, 0.818], [0.157, 0.101, 0.945], [0.196, 0.387, 0.295], [0.220, 0.492, 0.753], [0.229, 0.383, 0.482], [0.248, 0.016, 0.496], [0.343, 0.056, 0.313], [0.359, 0.456, 0.943], [0.383, 0.229, 0.982], [0.387, 0.196, 0.795], [0.415, 0.443, 0.818], [0.440, 0.109, 0.432], [0.443, 0.415, 0.318], [0.456, 0.359, 0.443], [0.488, 0.863, 0.105], [0.492, 0.220, 0.253], [0.508, 0.780, 0.747], [0.512, 0.137, 0.895], [0.544, 0.641, 0.557], [0.557, 0.585, 0.682], [0.560, 0.891, 0.568], [0.585, 0.557, 0.182], [0.613, 0.804, 0.205], [0.617, 0.771, 0.018], [0.641, 0.544, 0.057], [0.657, 0.944, 0.687], [0.752, 0.984, 0.504], [0.771, 0.617, 0.518], [0.780, 0.508, 0.247], [0.804, 0.613, 0.705], [0.843, 0.899, 0.055], [0.855, 0.873, 0.182], [0.863, 0.488, 0.605], [0.873, 0.855, 0.682], [0.891, 0.560, 0.068], [0.899, 0.843, 0.555], [0.944, 0.657, 0.187], [0.984, 0.752, 0.004]], "m_tot_mub_per_fu": 0.0, "e_form_mev_per_atom": -373}

***

Number 1: theoretical density 2.275 g cm⁻³. Number 2: theoretical density 12.577 g cm⁻³. Number 3: theoretical density 6.705 g cm⁻³. Number 4: theoretical density 7.238 g cm⁻³. Number 5: theoretical density 5.384 g cm⁻³. Number 6: theoretical density 4.265 g cm⁻³.